(1)
A plane-wave DFT calculation with GGA-PBE was carried out for an optimized crystal structure of PmU2Os9.

Properties
- calculated formation energy (eV per atom) = 0.0252
- total magnetic moment (μB per formula unit) = 2.99
- V (Å³ per atom) = 17.717

a b c (Å): 9.4067 9.4067 9.4067
angles (deg): 32.41 32.41 32.41
Closest atoms and distances in Å follow each position.
Element x y z (fractional)
Pm1 0.0000 0.0000 0.0000  6 Os 3.03
U1 0.1410 0.1410 0.1410  12 Os 3.05-3.28, 3 U 3.33
U2 0.8590 0.8590 0.8590  12 Os 3.05-3.28, 3 U 3.33
Os1 0.0781 0.5853 0.5853  7 Os 2.59-2.74
Os2 0.3364 0.3364 0.3364  6 Os 2.63-2.74
Os3 0.4147 0.4147 0.9219  7 Os 2.59-2.74
Os4 0.4147 0.9219 0.4147  7 Os 2.59-2.74
Os5 0.5000 0.5000 0.5000  6 Os 2.71
Os6 0.5853 0.0781 0.5853  7 Os 2.59-2.74
Os7 0.5853 0.5853 0.0781  7 Os 2.59-2.74
Os8 0.6636 0.6636 0.6636  6 Os 2.63-2.74
Os9 0.9219 0.4147 0.4147  7 Os 2.59-2.74

***

(2)
A plane-wave DFT calculation with GGA-PBE was carried out for an optimized crystal structure of Li2BiPd9.

Properties
- calculated formation energy (eV per atom) = -0.2449
- total magnetic moment (μB per formula unit) = 0.00
- V (Å³ per atom) = 15.718

a b c (Å): 4.0204 4.0204 11.6688
angles (deg): 90.00 90.00 90.00
Closest atoms and distances in Å follow each position.
Element x y z (fractional)
Li1 0.0000 0.0000 0.1578  12 Pd 2.73-2.84
Li2 0.0000 0.0000 0.8422  12 Pd 2.73-2.84
Bi1 0.0000 0.0000 0.5000  12 Pd 2.84-2.91
Pd1 0.0000 0.5000 0.0000  4 Li 2.73, 8 Pd 2.73-2.84
Pd2 0.0000 0.5000 0.3192  8 Pd 2.75-2.91, 2 Li 2.75, 2 Bi 2.91
Pd3 0.0000 0.5000 0.6808  8 Pd 2.75-2.91, 2 Li 2.75, 2 Bi 2.91
Pd4 0.5000 0.0000 0.0000  4 Li 2.73, 8 Pd 2.73-2.84
Pd5 0.5000 0.0000 0.3192  8 Pd 2.75-2.91, 2 Li 2.75, 2 Bi 2.91
Pd6 0.5000 0.0000 0.6808  8 Pd 2.75-2.91, 2 Li 2.75, 2 Bi 2.91
Pd7 0.5000 0.5000 0.1585  8 Pd 2.73-2.75, 4 Li 2.84
Pd8 0.5000 0.5000 0.5000  4 Bi 2.84, 8 Pd 2.91
Pd9 0.5000 0.5000 0.8415  8 Pd 2.73-2.75, 4 Li 2.84

***

(3)
A plane-wave DFT calculation with GGA-PBE was carried out for an optimized crystal structure of LaDy2ErTh.

Properties
- calculated formation energy (eV per atom) = 0.2956
- total magnetic moment (μB per formula unit) = 0.00
- V (Å³ per atom) = 34.907

a b c (Å): 3.5533 5.6358 8.7158
angles (deg): 90.00 90.06 90.00
Closest atoms and distances in Å follow each position.
Element x y z (fractional)
La1 0.0000 0.0000 0.0000  4 Th 3.33, 2 La 3.55
Dy1 0.0000 0.5000 0.3218  1 Dy 3.11, 2 Th 3.32
Dy2 0.0000 0.5000 0.6782  1 Dy 3.11, 2 Th 3.32
Er1 0.5000 0.0000 0.5000  2 Er 3.55, 8 Dy 3.67-3.68
Th1 0.5000 0.5000 0.0000  4 Dy 3.32, 4 La 3.33, 2 Th 3.55

***

(4)
A plane-wave DFT calculation with GGA-PBE was carried out for an optimized crystal structure of Th6PdAu5.

Properties
- calculated formation energy (eV per atom) = -0.5722
- total magnetic moment (μB per formula unit) = 0.00
- V (Å³ per atom) = 25.418

a b c (Å): 9.0427 9.0427 5.1958
angles (deg): 106.57 106.57 49.12
Closest atoms and distances in Å follow each position.
Element x y z (fractional)
Th1 0.0845 0.5927 0.3388  1 Pd 3.13, 7 Au 3.16-3.23
Th2 0.2436 0.7564 0.0000  2 Pd 3.18, 6 Au 3.23-3.27
Th3 0.4073 0.9155 0.6612  1 Pd 3.13, 7 Au 3.16-3.23
Th4 0.5927 0.0845 0.3388  1 Pd 3.13, 7 Au 3.16-3.23
Th5 0.7564 0.2436 0.0000  2 Pd 3.18, 6 Au 3.23-3.27
Th6 0.9155 0.4073 0.6612  1 Pd 3.13, 7 Au 3.16-3.23
Pd1 0.0000 0.0000 0.5000  8 Th 3.13-3.18
Au1 0.1737 0.1737 0.1735  8 Th 3.19-3.27, 1 Au 3.57
Au2 0.3307 0.3307 0.8309  8 Th 3.23-3.27, 2 Au 3.57-3.58
Au3 0.5000 0.5000 0.5000  8 Th 3.16-3.23
Au4 0.6693 0.6693 0.1691  8 Th 3.23-3.27, 2 Au 3.57-3.58
Au5 0.8263 0.8263 0.8265  8 Th 3.19-3.27, 1 Au 3.57

***

(5)
A plane-wave DFT calculation with GGA-PBE was carried out for an optimized crystal structure of Pm2Pr3Hg2.

Properties
- calculated formation energy (eV per atom) = -0.2265
- total magnetic moment (μB per formula unit) = 0.00
- V (Å³ per atom) = 32.734
- polymorph energy (0 for the lowest one) (eV/atom) = 0.000

a b c (Å): 13.4841 3.8829 9.6451
angles (deg): 90.00 114.84 90.00
Closest atoms and distances in Å follow each position.
Element x y z (fractional)
Pm1 0.1464 0.0000 0.3130  2 Hg 3.20
Pm2 0.3536 0.5000 0.6870  2 Hg 3.20
Pm3 0.6464 0.5000 0.3130  2 Hg 3.20
Pm4 0.8536 0.0000 0.6870  2 Hg 3.20
Pr1 0.0000 0.5000 0.5000  4 Hg 3.14
Pr2 0.1077 0.5000 0.9421  3 Hg 3.27-3.30, 1 Pr 3.52
Pr3 0.3923 0.0000 0.0579  3 Hg 3.27-3.30, 1 Pr 3.52
Pr4 0.5000 0.0000 0.5000  4 Hg 3.14
Pr5 0.6077 0.0000 0.9421  3 Hg 3.27-3.30, 1 Pr 3.52
Pr6 0.8923 0.5000 0.0579  3 Hg 3.27-3.30, 1 Pr 3.52
Hg1 0.1778 0.0000 0.7252  5 Pr 3.14-3.30, 2 Pm 3.20
Hg2 0.3222 0.5000 0.2748  5 Pr 3.14-3.30, 2 Pm 3.20
Hg3 0.6778 0.5000 0.7252  5 Pr 3.14-3.30, 2 Pm 3.20
Hg4 0.8222 0.0000 0.2748  5 Pr 3.14-3.30, 2 Pm 3.20

***

(6)
A plane-wave DFT calculation with GGA-PBE was carried out for an optimized crystal structure of Na2TmAgCl6.

Properties
- raw formation energy (meV/atom) = -1583
- total magnetic moment (μB per formula unit) = 0.00
- V (Å³ per atom) = 29.406
- polymorph energy (0 for the lowest one) (eV/atom) = 0.143

a b c (Å): 7.4642 7.4642 7.4642
angles (deg): 60.00 60.00 60.00
Closest atoms and distances in Å follow each position.
Element x y z (fractional)
Na1 0.2500 0.2500 0.2500  12 Cl 3.73
Na2 0.7500 0.7500 0.7500  12 Cl 3.73
Tm1 0.0000 0.0000 0.0000  6 Cl 2.58
Ag1 0.5000 0.5000 0.5000  6 Cl 2.70
Cl1 0.2445 0.2445 0.7555  1 Tm 2.58, 1 Ag 2.70
Cl2 0.2445 0.7555 0.2445  1 Tm 2.58, 1 Ag 2.70
Cl3 0.2445 0.7555 0.7555  1 Tm 2.58, 1 Ag 2.70
Cl4 0.7555 0.2445 0.2445  1 Tm 2.58, 1 Ag 2.70
Cl5 0.7555 0.2445 0.7555  1 Tm 2.58, 1 Ag 2.70
Cl6 0.7555 0.7555 0.2445  1 Tm 2.58, 1 Ag 2.70